No. 1
Here is a relaxed structure of PrHo2VN4 from the Alexandria database. Energies are from PBE-GGA.

E_form (uncorrected) ... -1379 meV/atom
DOS(E_F) ... 0.39 states/eV/atom

Structure (CIF):
```
data_PrHo2VN4
_symmetry_space_group_name_H-M 'C m c m'
_symmetry_Int_Tables_number 63
_symmetry_space_group_name_Hall '-C 2c 2'
_cell_length_a 3.393
_cell_length_b 11.776
_cell_length_c 11.701
_cell_angle_alpha 90.00
_cell_angle_beta 90.00
_cell_angle_gamma 90.00
loop_
_atom_site_label
_atom_site_type_symbol
_atom_site_fract_x
_atom_site_fract_y
_atom_site_fract_z
Pr1 Pr 0.000 0.084 0.250
Ho1 Ho 0.000 0.371 0.042
V1 V 0.000 0.175 0.750
N1 N 0.000 0.000 0.000
N2 N 0.000 0.263 0.624
N3 N 0.000 0.419 0.250
```

---

No. 2
Here is a relaxed structure of ZrGa2Br from the Alexandria database. Energies are from PBE-GGA.

E_form (uncorrected) ... 81 meV/atom
DOS(E_F) ... 0.79 states/eV/atom

Structure (CIF):
```
data_ZrGa2Br
_symmetry_space_group_name_H-M 'I -4 2 d'
_symmetry_Int_Tables_number 122
_symmetry_space_group_name_Hall 'I -4 2bw'
_cell_length_a 8.267
_cell_length_b 8.267
_cell_length_c 5.443
_cell_angle_alpha 90.00
_cell_angle_beta 90.00
_cell_angle_gamma 90.00
loop_
_atom_site_label
_atom_site_type_symbol
_atom_site_fract_x
_atom_site_fract_y
_atom_site_fract_z
Zr1 Zr 0.000 0.000 0.000
Ga1 Ga 0.216 0.750 0.125
Br1 Br 0.000 0.000 0.500
```

---

No. 3
Here is a relaxed structure of AlCo3Re from the Alexandria database. Energies are from PBE-GGA.

Formation energy from the elements ... 1379 meV per atom
DOS(E_F) ... 1.59 states/eV/atom

Structure (CIF):
```
data_AlCo3Re
_symmetry_space_group_name_H-M 'P m -3 m'
_symmetry_Int_Tables_number 221
_symmetry_space_group_name_Hall '-P 4 2 3'
_cell_length_a 4.416
_cell_length_b 4.416
_cell_length_c 4.416
_cell_angle_alpha 90.00
_cell_angle_beta 90.00
_cell_angle_gamma 90.00
loop_
_atom_site_label
_atom_site_type_symbol
_atom_site_fract_x
_atom_site_fract_y
_atom_site_fract_z
Al1 Al 0.000 0.000 0.000
Co1 Co 0.000 0.500 0.500
Re1 Re 0.500 0.500 0.500
```

---

No. 4
Here is a relaxed structure of SrLaTaN3 from the Alexandria database. Energies are from PBE-GGA.

E_form (uncorrected) ... -1068 meV/atom
DOS(E_F) ... 0.04 states/eV/atom

Structure (CIF):
```
data_SrLaTaN3
_symmetry_space_group_name_H-M 'C 1 2/m 1'
_symmetry_Int_Tables_number 12
_symmetry_space_group_name_Hall '-C 2y'
_cell_length_a 13.957
_cell_length_b 4.094
_cell_length_c 7.384
_cell_angle_alpha 90.00
_cell_angle_beta 105.46
_cell_angle_gamma 90.00
loop_
_atom_site_label
_atom_site_type_symbol
_atom_site_fract_x
_atom_site_fract_y
_atom_site_fract_z
Sr1 Sr 0.151 0.000 0.074
La1 La 0.157 0.000 0.583
Ta1 Ta 0.001 0.500 0.282
N1 N 0.003 0.000 0.294
N2 N 0.150 0.500 0.818
N3 N 0.155 0.500 0.333
```

---

No. 5
Here is a relaxed structure of Sr2CoAu from the Alexandria database. Energies are from PBE-GGA.

Formation energy from the elements ... -14 meV per atom
DOS(E_F) ... 1.93 states/eV/atom

Structure (CIF):
```
data_Sr2CoAu
_symmetry_space_group_name_H-M 'P 4/m m m'
_symmetry_Int_Tables_number 123
_symmetry_space_group_name_Hall '-P 4 2'
_cell_length_a 5.313
_cell_length_b 5.313
_cell_length_c 3.782
_cell_angle_alpha 90.00
_cell_angle_beta 90.00
_cell_angle_gamma 90.00
loop_
_atom_site_label
_atom_site_type_symbol
_atom_site_fract_x
_atom_site_fract_y
_atom_site_fract_z
Sr1 Sr 0.000 0.500 0.000
Co1 Co 0.000 0.000 0.500
Au1 Au 0.500 0.500 0.500
```

---

No. 6
Here is a relaxed structure of Dy2ErAl from the Alexandria database. Energies are from PBE-GGA.

Formation energy from the elements ... -200 meV per atom
DOS(E_F) ... 1.02 states/eV/atom

Structure (CIF):
```
data_Dy2ErAl
_symmetry_space_group_name_H-M 'A m m 2'
_symmetry_Int_Tables_number 38
_symmetry_space_group_name_Hall 'A 2 -2'
_cell_length_a 5.284
_cell_length_b 6.801
_cell_length_c 11.797
_cell_angle_alpha 90.00
_cell_angle_beta 90.00
_cell_angle_gamma 90.00
loop_
_atom_site_label
_atom_site_type_symbol
_atom_site_fract_x
_atom_site_fract_y
_atom_site_fract_z
Dy1 Dy 0.000 0.000 0.000
Dy2 Dy 0.000 0.238 0.238
Dy3 Dy 0.500 0.000 0.650
Er1 Er 0.500 0.238 0.412
Al1 Al 0.000 0.000 0.491
Al2 Al 0.500 0.000 0.159
```